# 1
LiLaHg6 after structural relaxation, computed with GGA-PBE.

Cell lengths 5.149, 5.366, 7.096 Å; angles 90.00, 90.00, 90.00 degrees
Fractional positions:
Li: 0.500 0.347 0.500
La: 0.000 0.683 0.000
Hg: 0.500 0.817 0.274
Hg: 0.000 0.187 0.728
Hg: 0.000 0.187 0.272
Hg: 0.500 0.817 0.726
Hg: 0.000 0.674 0.500
Hg: 0.500 0.289 0.000

calculated density = 11.4 g/cm3
energy of formation = -305 meV per atom
offset from the most stable computed form = 0 meV per atom
electronic total energy = -1.39 eV/atom
SG = Pmm2, No. 25

# 2
Y2SiH after structural relaxation, computed with GGA-PBE.

Cell lengths 4.074, 4.074, 6.232 Å; angles 70.92, 70.92, 60.00 degrees
Fractional positions:
Y: 0.245 0.245 0.265
Y: 0.755 0.755 0.735
H: 0.500 0.500 0.500
Si: 0.000 0.000 0.000

calculated density = 4.1 g/cm3
offset from the most stable computed form = 0 meV per atom
electronic total energy = -5.90 eV/atom
SG = R-3m, No. 166

# 3
Cs12Zn5Sb3 after structural relaxation, computed with GGA-PBE.

Cell lengths 19.120, 19.120, 19.120 Å; angles 109.47, 109.47, 109.47 degrees
Fractional positions:
Sb: 0.750 0.375 0.125
Sb: 0.875 0.750 0.125
Sb: 0.375 0.750 0.625
Sb: 0.250 0.125 0.375
Sb: 0.875 0.125 0.250
Sb: 0.375 0.625 0.250
Sb: 0.625 0.375 0.750
Sb: 0.125 0.875 0.750
Sb: 0.750 0.875 0.625
Sb: 0.625 0.250 0.375
Sb: 0.125 0.250 0.875
Sb: 0.250 0.625 0.875
Zn: 0.125 0.375 0.250
Zn: 0.000 0.500 0.000
Zn: 0.000 0.000 0.000
Zn: 0.375 0.250 0.125
Zn: 0.500 0.000 0.500
Zn: 0.500 0.500 0.000
Zn: 0.125 0.750 0.375
Zn: 0.750 0.125 0.875
Zn: 0.750 0.625 0.375
Zn: 0.375 0.125 0.750
Zn: 0.625 0.875 0.250
Zn: 0.500 0.500 0.500
Zn: 0.500 0.000 0.000
Zn: 0.000 0.000 0.500
Zn: 0.250 0.375 0.625
Zn: 0.250 0.875 0.125
Zn: 0.000 0.500 0.500
Zn: 0.875 0.250 0.625
Zn: 0.625 0.750 0.875
Zn: 0.875 0.625 0.750
Cs: 0.732 0.139 0.062
Cs: 0.329 0.562 0.423
Cs: 0.938 0.361 0.268
Cs: 0.562 0.232 0.139
Cs: 0.594 0.732 0.671
Cs: 0.938 0.577 0.171
Cs: 0.329 0.768 0.406
Cs: 0.077 0.906 0.139
Cs: 0.577 0.938 0.671
Cs: 0.732 0.594 0.171
Cs: 0.768 0.438 0.361
Cs: 0.829 0.923 0.062
Cs: 0.139 0.732 0.562
Cs: 0.361 0.423 0.094
Cs: 0.094 0.923 0.361
Cs: 0.406 0.139 0.577
Cs: 0.094 0.171 0.232
Cs: 0.438 0.671 0.077
Cs: 0.829 0.906 0.268
Cs: 0.139 0.406 0.077
Cs: 0.361 0.938 0.768
Cs: 0.577 0.639 0.406
Cs: 0.923 0.829 0.562
Cs: 0.768 0.329 0.906
Cs: 0.423 0.361 0.594
Cs: 0.077 0.171 0.438
Cs: 0.232 0.671 0.094
Cs: 0.171 0.094 0.732
Cs: 0.639 0.062 0.232
Cs: 0.861 0.594 0.923
Cs: 0.562 0.329 0.923
Cs: 0.594 0.861 0.423
Cs: 0.906 0.829 0.768
Cs: 0.906 0.077 0.639
Cs: 0.861 0.268 0.438
Cs: 0.171 0.077 0.938
Cs: 0.639 0.577 0.906
Cs: 0.423 0.062 0.329
Cs: 0.268 0.406 0.829
Cs: 0.232 0.562 0.639
Cs: 0.923 0.094 0.861
Cs: 0.671 0.232 0.594
Cs: 0.438 0.768 0.861
Cs: 0.062 0.423 0.829
Cs: 0.406 0.268 0.329
Cs: 0.062 0.639 0.732
Cs: 0.671 0.438 0.577
Cs: 0.268 0.861 0.938

calculated density = 2.8 g/cm3
electronic total energy = -1.40 eV/atom
formation energy from raw total energies = 0.05 eV per atom
SG = Ia-3d, No. 230

# 4
GdYTcAg after structural relaxation, computed with GGA-PBE.

Cell lengths 5.001, 5.001, 5.001 Å; angles 60.00, 60.00, 60.00 degrees
Fractional positions:
Y: 0.750 0.750 0.750
Gd: 0.250 0.250 0.250
Tc: 0.500 0.500 0.500
Ag: 0.000 0.000 0.000

calculated density = 8.5 g/cm3
energy of formation = -90 meV per atom
electronic total energy = -8.53 eV/atom
SG = F-43m, No. 216

# 5
CePuZr after structural relaxation, computed with GGA-PBE.

Cell lengths 4.540, 4.584, 7.516 Å; angles 90.00, 107.58, 90.00 degrees
Fractional positions:
Pu: 0.584 0.250 0.168
Pu: 0.416 0.750 0.832
Ce: 0.918 0.250 0.836
Ce: 0.082 0.750 0.164
Zr: 0.251 0.250 0.502
Zr: 0.749 0.750 0.498

calculated density = 10.6 g/cm3
energy of formation = 96 meV per atom
offset from the most stable computed form = 0 meV per atom
electronic total energy = -9.51 eV/atom
SG = Cmcm, No. 63

# 6
HfTiPS2 after structural relaxation, computed with GGA-PBE.

Cell lengths 4.838, 4.838, 5.025 Å; angles 90.00, 90.00, 90.00 degrees
Fractional positions:
P: 0.000 0.000 0.500
S: 0.000 0.500 0.000
S: 0.500 0.000 0.000
Hf: 0.000 0.000 0.000
Ti: 0.500 0.500 0.500

calculated density = 4.5 g/cm3
offset from the most stable computed form = 66 meV per atom
electronic total energy = -6.49 eV/atom
formation energy from raw total energies = -0.18 eV per atom
SG = P4/mmm, No. 123

# 7
ZrBeAl2 after structural relaxation, computed with GGA-PBE.

Cell lengths 4.158, 3.067, 5.288 Å; angles 84.65, 90.00, 90.00 degrees
Fractional positions:
Be: 0.500 0.250 0.250
Al: 0.000 0.189 0.007
Al: 0.000 0.311 0.493
Zr: 0.500 0.750 0.750

calculated density = 3.8 g/cm3
energy of formation = -121 meV per atom
electronic total energy = -5.06 eV/atom
SG = P2/m, No. 10

# 8
InGeBi2 after structural relaxation, computed with GGA-PBE.

Cell lengths 4.190, 4.190, 8.152 Å; angles 75.11, 75.11, 60.00 degrees
Fractional positions:
In: 0.500 0.500 0.501
Ge: 0.667 0.667 0.999
Bi: 0.075 0.075 0.774
Bi: 0.258 0.258 0.226

calculated density = 8.5 g/cm3
energy of formation = 156 meV per atom
electronic total energy = -3.62 eV/atom
SG = R3m, No. 160

# 9
PaH2O4 after structural relaxation, computed with GGA-PBE.

Cell lengths 3.999, 3.999, 6.643 Å; angles 72.41, 72.39, 60.01 degrees
Fractional positions:
Pa: 0.000 0.000 0.000
H: 0.165 0.165 0.507
H: 0.835 0.835 0.493
O: 0.113 0.113 0.664
O: 0.887 0.887 0.336
O: 0.331 0.331 0.007
O: 0.669 0.669 0.993

calculated density = 5.7 g/cm3
electronic total energy = -7.15 eV/atom
SG = C2/m, No. 12

# 10
BiSe after structural relaxation, computed with GGA-PBE.

Cell lengths 5.448, 5.091, 14.079 Å; angles 90.00, 90.00, 90.00 degrees
Fractional positions:
Bi: 0.000 0.674 0.796
Bi: 0.500 0.326 0.704
Bi: 0.500 0.326 0.296
Bi: 0.000 0.674 0.204
Bi: 0.000 0.688 0.500
Bi: 0.500 0.312 0.000
Se: 0.000 0.055 0.646
Se: 0.500 0.945 0.854
Se: 0.500 0.945 0.146
Se: 0.000 0.055 0.354
Se: 0.000 0.466 0.000
Se: 0.500 0.534 0.500

calculated density = 7.3 g/cm3
offset from the most stable computed form = 171 meV per atom
electronic total energy = -3.84 eV/atom
formation energy from raw total energies = -0.15 eV per atom
SG = Pmmn, No. 59

# 11
Sr2TlCd6Rh after structural relaxation, computed with GGA-PBE.

Cell lengths 7.224, 7.224, 13.200 Å; angles 74.12, 74.12, 60.00 degrees
Fractional positions:
Sr: 0.897 0.897 0.310
Sr: 0.103 0.103 0.690
Sr: 0.721 0.721 0.837
Sr: 0.279 0.279 0.163
Tl: 0.573 0.573 0.280
Tl: 0.427 0.427 0.720
Cd: 0.927 0.326 0.420
Cd: 0.326 0.927 0.420
Cd: 0.326 0.326 0.420
Cd: 0.073 0.674 0.580
Cd: 0.674 0.073 0.580
Cd: 0.674 0.674 0.580
Cd: 0.647 0.221 0.911
Cd: 0.221 0.647 0.911
Cd: 0.221 0.221 0.911
Cd: 0.353 0.779 0.089
Cd: 0.779 0.353 0.089
Cd: 0.779 0.779 0.089
Rh: 0.000 0.000 0.000
Rh: 0.500 0.500 0.500

calculated density = 6.8 g/cm3
energy of formation = -157 meV per atom
electronic total energy = -2.01 eV/atom
SG = R-3m, No. 166

# 12
Ac3Al2In3 after structural relaxation, computed with GGA-PBE.

Cell lengths 5.107, 6.416, 15.999 Å; angles 90.00, 90.00, 113.45 degrees
Fractional positions:
Ac: 0.654 0.308 0.035
Ac: 0.346 0.692 0.535
Ac: 0.654 0.308 0.465
Ac: 0.346 0.692 0.965
Ac: 0.451 0.901 0.250
Ac: 0.549 0.099 0.750
Al: 0.830 0.660 0.665
Al: 0.170 0.340 0.165
Al: 0.830 0.660 0.835
Al: 0.170 0.340 0.335
In: 0.952 0.903 0.094
In: 0.048 0.097 0.594
In: 0.952 0.903 0.406
In: 0.048 0.097 0.906
In: 0.748 0.497 0.250
In: 0.252 0.503 0.750

calculated density = 7.5 g/cm3
energy of formation = -329 meV per atom
offset from the most stable computed form = 93 meV per atom
electronic total energy = -3.83 eV/atom
SG = Cmcm, No. 63

# 13
Na2PmHfS4 after structural relaxation, computed with GGA-PBE.

Cell lengths 3.847, 6.746, 7.104 Å; angles 108.11, 90.00, 90.00 degrees
Fractional positions:
Na: 0.500 0.000 0.500
Na: 0.000 0.500 0.500
Pm: 0.500 0.500 0.000
Hf: 0.000 0.000 0.000
S: 0.500 0.221 0.221
S: 0.500 0.779 0.779
S: 0.000 0.233 0.768
S: 0.000 0.767 0.232

calculated density = 4.7 g/cm3
electronic total energy = -5.83 eV/atom
formation energy from raw total energies = -1.60 eV per atom
SG = P2/m, No. 10

# 14
BeHg2Ir after structural relaxation, computed with GGA-PBE.

Cell lengths 3.020, 3.020, 7.578 Å; angles 90.00, 90.00, 90.00 degrees
Fractional positions:
Be: 0.500 0.500 0.679
Ir: 0.000 0.000 0.569
Hg: 0.000 0.000 0.958
Hg: 0.500 0.500 0.295

calculated density = 14.5 g/cm3
energy of formation = 58 meV per atom
electronic total energy = -3.24 eV/atom
SG = P4mm, No. 99

# 15
Hf3H3Pb after structural relaxation, computed with GGA-PBE.

Cell lengths 5.751, 5.751, 5.751 Å; angles 90.00, 90.00, 90.00 degrees
Fractional positions:
Pb: 0.500 0.500 0.500
Pb: 0.000 0.000 0.000
H: 0.250 0.000 0.500
H: 0.000 0.500 0.250
H: 0.500 0.750 0.000
H: 0.750 0.000 0.500
H: 0.000 0.500 0.750
H: 0.500 0.250 0.000
Hf: 0.000 0.250 0.500
Hf: 0.000 0.750 0.500
Hf: 0.500 0.000 0.750
Hf: 0.750 0.500 0.000
Hf: 0.500 0.000 0.250
Hf: 0.250 0.500 0.000

calculated density = 13.0 g/cm3
electronic total energy = -6.53 eV/atom
SG = Pm-3n, No. 223

# 16
ZrPb2Se after structural relaxation, computed with GGA-PBE.

Cell lengths 8.020, 8.020, 4.325 Å; angles 74.49, 74.49, 24.45 degrees
Fractional positions:
Pb: 0.938 0.938 0.061
Pb: 0.562 0.562 0.439
Se: 0.750 0.750 0.750
Zr: 0.250 0.250 0.250

calculated density = 8.8 g/cm3
electronic total energy = -5.20 eV/atom
formation energy from raw total energies = -0.34 eV per atom
SG = C2/m, No. 12

# 17
CsZnTe3 after structural relaxation, computed with GGA-PBE.

Cell lengths 5.568, 5.568, 5.568 Å; angles 90.00, 90.00, 90.00 degrees
Fractional positions:
Cs: 0.500 0.500 0.500
Zn: 0.000 0.000 0.000
Te: 0.000 0.500 0.000
Te: 0.000 0.000 0.500
Te: 0.500 0.000 0.000

calculated density = 5.6 g/cm3
electronic total energy = -2.49 eV/atom
formation energy from raw total energies = -0.18 eV per atom
SG = Pm-3m, No. 221

# 18
Ta6Pt3N2 after structural relaxation, computed with GGA-PBE.

Cell lengths 2.989, 2.989, 21.461 Å; angles 86.01, 86.01, 60.00 degrees
Fractional positions:
Ta: 0.893 0.893 0.320
Ta: 0.107 0.107 0.680
Ta: 0.815 0.815 0.556
Ta: 0.185 0.185 0.444
Ta: 0.631 0.631 0.107
Ta: 0.369 0.369 0.893
Pt: 0.000 0.000 0.000
Pt: 0.738 0.738 0.787
Pt: 0.262 0.262 0.213
N: 0.539 0.539 0.383
N: 0.461 0.461 0.617

calculated density = 17.0 g/cm3
electronic total energy = -10.20 eV/atom
formation energy from raw total energies = -0.57 eV per atom
SG = R-3m, No. 166

# 19
Tl5Rh after structural relaxation, computed with GGA-PBE.

Cell lengths 6.211, 6.211, 6.211 Å; angles 60.00, 60.00, 60.00 degrees
Fractional positions:
Tl: 0.250 0.250 0.250
Tl: 0.626 0.123 0.626
Tl: 0.123 0.626 0.626
Tl: 0.626 0.626 0.123
Tl: 0.626 0.626 0.626
Rh: 0.000 0.000 0.000

calculated density = 11.0 g/cm3
energy of formation = 515 meV per atom
offset from the most stable computed form = 430 meV per atom
electronic total energy = -2.68 eV/atom
SG = F-43m, No. 216

# 20
Nd4Y3Ga4 after structural relaxation, computed with GGA-PBE.

Cell lengths 3.573, 9.111, 10.447 Å; angles 115.85, 99.85, 90.00 degrees
Fractional positions:
Nd: 0.334 0.158 0.667
Nd: 0.666 0.491 0.333
Nd: 0.666 0.842 0.333
Nd: 0.334 0.509 0.667
Y: 0.093 0.093 0.186
Y: 0.907 0.907 0.814
Y: 0.000 0.500 0.000
Ga: 0.278 0.778 0.556
Ga: 0.722 0.222 0.444
Ga: 0.500 0.777 0.000
Ga: 0.500 0.223 0.000

calculated density = 6.2 g/cm3
energy of formation = -422 meV per atom
electronic total energy = -5.02 eV/atom
SG = Immm, No. 71